i) DFT (PBE-GGA) results for an optimized crystal structure of Cs2IrCl7.

a b c (Å): 7.7234 7.7234 7.7743
angles (deg): 60.22 60.22 90.00
With the nearest neighbours (Å) after each atom.
Fractional positions:
Cs 0.7500 0.2500 0.5000  12 Cl 3.89-3.91
Cs 0.2500 0.7500 0.5000  12 Cl 3.89-3.91
Ir 0.0000 0.0000 0.0000  6 Cl 2.34
Cl 0.5000 0.5000 0.0000  6 Cl 3.12-3.19
Cl 0.2114 0.2114 0.5772  1 Ir 2.34
Cl 0.7886 0.7886 0.4228  1 Ir 2.34
Cl 0.2143 0.2143 0.0000  1 Ir 2.34
Cl 0.7857 0.7857 0.0000  1 Ir 2.34
Cl 0.7857 0.2143 0.0000  1 Ir 2.34
Cl 0.2143 0.7857 0.0000  1 Ir 2.34

Computed properties:
Its space group is I4/mmm, No. 139. The volume comes out at 33.00 Å³ per atom.

---

ii) DFT (PBE-GGA) results for an optimized crystal structure of Cs2IrCl7.

a b c (Å): 7.2856 11.2019 9.4072
angles (deg): 84.02 67.22 71.02
With the nearest neighbours (Å) after each atom.
Fractional positions:
Cs 0.6310 0.9492 0.7247  9 Cl 3.49-3.88
Cs 0.6951 0.4492 0.2247  9 Cl 3.49-3.88
Cs 0.3049 0.5508 0.7753  9 Cl 3.49-3.88
Cs 0.3690 0.0508 0.2753  9 Cl 3.49-3.88
Ir 0.9901 0.2500 0.7500  7 Cl 2.39-2.44
Ir 0.0099 0.7500 0.2500  7 Cl 2.39-2.44
Cl 0.8362 0.4683 0.8248  1 Ir 2.39
Cl 0.8706 0.9683 0.3248  1 Ir 2.39
Cl 0.1970 0.8212 0.9988  1 Ir 2.43
Cl 0.3407 0.2555 0.5840  1 Ir 2.44
Cl 0.6617 0.2500 0.7500  1 Ir 2.39
Cl 0.9829 0.3212 0.4988  1 Ir 2.43
Cl 0.1801 0.2445 0.9160  1 Ir 2.44
Cl 0.8199 0.7555 0.0840  1 Ir 2.44
Cl 0.0171 0.6788 0.5012  1 Ir 2.43
Cl 0.3383 0.7500 0.2500  1 Ir 2.39
Cl 0.6593 0.7445 0.4160  1 Ir 2.44
Cl 0.8030 0.1788 0.0012  1 Ir 2.43
Cl 0.1294 0.0317 0.6752  1 Ir 2.39
Cl 0.1638 0.5317 0.1752  1 Ir 2.39

Computed properties:
Its space group is C2/c, No. 15. The volume comes out at 33.46 Å³ per atom.

---

The most stable of them is i).

---

i) DFT (PBE-GGA) results for an optimized crystal structure of Cs3IrCl6.

a b c (Å): 9.1732 9.1732 9.1732
angles (deg): 89.92 89.92 89.92
With the nearest neighbours (Å) after each atom.
Fractional positions:
Cs 0.4413 0.9372 0.7597  6 Cl 3.46-3.58
Cs 0.9372 0.7597 0.4413  6 Cl 3.46-3.58
Cs 0.2403 0.5587 0.0628  6 Cl 3.46-3.58
Cs 0.7597 0.4413 0.9372  6 Cl 3.46-3.58
Cs 0.0628 0.2403 0.5587  6 Cl 3.46-3.58
Cs 0.5587 0.0628 0.2403  6 Cl 3.46-3.58
Ir 0.0000 0.0000 0.0000  6 Cl 2.39
Ir 0.5000 0.5000 0.5000  6 Cl 2.39
Cl 0.2347 0.9353 0.0914  1 Ir 2.39
Cl 0.0647 0.9086 0.7653  1 Ir 2.39
Cl 0.5563 0.7495 0.4527  1 Ir 2.39
Cl 0.9086 0.7653 0.0647  1 Ir 2.39
Cl 0.4527 0.5563 0.7495  1 Ir 2.39
Cl 0.2505 0.5473 0.4437  1 Ir 2.39
Cl 0.7495 0.4527 0.5563  1 Ir 2.39
Cl 0.5473 0.4437 0.2505  1 Ir 2.39
Cl 0.0914 0.2347 0.9353  1 Ir 2.39
Cl 0.4437 0.2505 0.5473  1 Ir 2.39
Cl 0.9353 0.0914 0.2347  1 Ir 2.39
Cl 0.7653 0.0647 0.9086  1 Ir 2.39

Computed properties:
Its space group is R-3, No. 148. The volume comes out at 38.59 Å³ per atom.

---

ii) DFT (PBE-GGA) results for an optimized crystal structure of Cs3IrCl6.

a b c (Å): 7.9337 7.9337 7.9336
angles (deg): 60.00 60.00 90.00
With the nearest neighbours (Å) after each atom.
Fractional positions:
Cs 0.5000 0.5000 0.0000  6 Cl 3.24
Cs 0.7500 0.2500 0.5000  12 Cl 3.99
Cs 0.2500 0.7500 0.5000  12 Cl 3.99
Ir 0.0000 0.0000 0.0000  6 Cl 2.37
Cl 0.2111 0.2111 0.5777  1 Ir 2.37
Cl 0.7889 0.7889 0.4223  1 Ir 2.37
Cl 0.2111 0.2111 0.0000  1 Ir 2.37
Cl 0.7889 0.7889 0.0000  1 Ir 2.37
Cl 0.7889 0.2111 0.0000  1 Ir 2.37
Cl 0.2111 0.7889 0.0000  1 Ir 2.37

Computed properties:
Its space group is Fm-3m, No. 225. The volume comes out at 35.31 Å³ per atom.

---

The most stable of them is ii).

---

i) DFT (PBE-GGA) results for an optimized crystal structure of CsIrSCl2.

a b c (Å): 5.3335 5.3335 4.4474
angles (deg): 90.00 90.00 90.00
With the nearest neighbours (Å) after each atom.
Fractional positions:
Cs 0.5000 0.5000 0.5000  8 Cl 3.47, 4 S 3.77
S 0.0000 0.0000 0.5000  2 Ir 2.22
Ir 0.0000 0.0000 0.0000  2 S 2.22
Cl 0.0000 0.5000 0.0000  2 Ir 2.67
Cl 0.5000 0.0000 0.0000  2 Ir 2.67

Computed properties:
Its space group is P4/mmm, No. 123. The volume comes out at 25.30 Å³ per atom.

---

ii) DFT (PBE-GGA) results for an optimized crystal structure of CsIrSCl2.

a b c (Å): 6.3518 6.3518 5.6309
angles (deg): 90.00 90.00 90.00
With the nearest neighbours (Å) after each atom.
Fractional positions:
Cs 0.0000 0.0000 0.0000  2 S 2.82
S 0.0000 0.0000 0.5000  2 Cs 2.82
Ir 0.5000 0.5000 0.5000  8 Cl 4.24, 4 S 4.49
Cl 0.0000 0.5000 0.0000  2 Cs 3.18
Cl 0.5000 0.0000 0.0000  2 Cs 3.18

Computed properties:
Its space group is P4/mmm, No. 123. The volume comes out at 45.44 Å³ per atom.

---

The most stable of them is i).